An optimized crystal structure of LaSi2Ru. Source: Alexandria via LeMat-Bulk, functional GGA-PBE.

Results
**Formation energy without anion corrections**: -0.750 eV/atom
**N(E_F)**: 0.6745 states/eV/atom
**E**: -7.012 eV/atom

Lattice parameters (Å, degrees): 4.1083 4.1083 15.9949 90.00 90.00 120.00
Space group R-3m (No. 166, hexagonal axes)
One atom of each set of equivalent atoms:
La: 0.0000 0.0000 0.0000 [3 per cell]
Si: 0.0000 0.0000 0.2071 [6 per cell]
Ru: 0.0000 0.0000 0.5000 [3 per cell]